Entry 1:
The following is a DFT calculation (GGA-PBE) of an optimized crystal structure of NaCaGa2Ge.

Output
DFT formation energy: 0.5 eV per formula unit

Unit cell a=5.1212 b=5.5399 c=5.1212 alpha=90.00 beta=90.00 gamma=90.00
Fractional positions:
Na1 0.5000 0.5000 0.5000
Ca1 0.0000 0.5000 0.0000
Ga1 0.5000 0.0000 0.0000
Ge1 0.0000 0.0000 0.0000
Ga2 0.0000 0.0000 0.5000

***

Entry 2:
The following is a DFT calculation (GGA-PBE) of an optimized crystal structure of Ca3Ga2Ni9Ge.

Output
DFT formation energy: -0.1 eV per formula unit

Unit cell a=6.0730 b=6.0730 c=8.3041 alpha=90.00 beta=90.00 gamma=120.00
Fractional positions:
Ni1 0.1323 0.2645 0.2777
Ni2 0.1323 0.8677 0.2777
Ni3 0.2645 0.1323 0.7223
Ni4 0.5000 0.0000 0.0000
Ni5 0.0000 0.5000 0.0000
Ge1 0.0000 0.0000 0.5000
Ca1 0.6667 0.3333 0.3264
Ni6 0.8677 0.7355 0.7223
Ni7 0.8677 0.1323 0.7223
Ca2 0.3333 0.6667 0.6736
Ga1 0.6667 0.3333 0.8123
Ni8 0.7355 0.8677 0.2777
Ca3 0.0000 0.0000 0.0000
Ni9 0.5000 0.5000 0.0000
Ga2 0.3333 0.6667 0.1877

***

Entry 3:
The following is a DFT calculation (GGA-PBE) of an optimized crystal structure of Ca2GaNi4Ge3.

Output
DFT formation energy: -5.2 eV per formula unit

Unit cell a=4.0844 b=4.0844 c=9.9504 alpha=90.00 beta=90.00 gamma=90.00
Fractional positions:
Ca1 0.5000 0.0000 0.2478
Ga1 0.5000 0.5000 0.5000
Ge1 0.5000 0.0000 0.8734
Ni1 0.0000 0.5000 0.3668
Ge2 0.0000 0.5000 0.1266
Ca2 0.0000 0.5000 0.7522
Ni2 0.5000 0.5000 0.0000
Ni3 0.0000 0.0000 0.0000
Ge3 0.0000 0.0000 0.5000
Ni4 0.5000 0.0000 0.6332

***

Entry 4:
The following is a DFT calculation (GGA-PBE) of an optimized crystal structure of CaGa2Ni2Ge.

Output
DFT formation energy: -1.5 eV per formula unit

Unit cell a=4.4100 b=4.4100 c=5.6431 alpha=90.00 beta=90.00 gamma=90.00
Fractional positions:
Ni1 0.5000 0.0000 0.0000
Ca1 0.0000 0.0000 0.5000
Ni2 0.0000 0.5000 0.0000
Ge1 0.0000 0.0000 0.0000
Ga1 0.5000 0.5000 0.7455
Ga2 0.5000 0.5000 0.2545

***

Entry 5:
The following is a DFT calculation (GGA-PBE) of an optimized crystal structure of CaGaNi2Ge.

Output
DFT formation energy: 6.4 eV per formula unit

Unit cell a=4.6466 b=5.3935 c=4.6466 alpha=90.00 beta=90.00 gamma=90.00
Fractional positions:
Ni1 0.5000 0.0000 0.0000
Ni2 0.0000 0.0000 0.5000
Ge1 0.0000 0.5000 0.0000
Ga1 0.5000 0.5000 0.5000
Ca1 0.0000 0.0000 0.0000

***

Entry 6:
The following is a DFT calculation (GGA-PBE) of an optimized crystal structure of Ca3Ga2Ge4O14.

Output
raw formation energy: -2.147 eV/atom

Unit cell a=8.1502 b=8.1502 c=5.0319 alpha=88.82 beta=88.82 gamma=60.90
Fractional positions:
Ge1 0.6701 0.6675 0.5326
Ge2 0.3325 0.3299 0.4674
Ca1 0.5787 0.9936 0.0005
O1 0.8602 0.6768 0.6825
Ga1 0.2385 0.9909 0.5166
Ca2 0.4094 0.5906 0.0000
O2 0.1582 0.5325 0.2988
O3 0.5417 0.3164 0.3124
O4 0.4675 0.8418 0.7012
O5 0.6836 0.4583 0.6876
O6 0.3232 0.1398 0.3175
Ge3 0.0007 0.9993 0.0000
O7 0.7784 0.0845 0.7551
Ge4 0.7542 0.2458 0.5000
O8 0.6633 0.6683 0.1899
O9 0.3317 0.3367 0.8101
O10 0.1359 0.7934 0.7631
O11 0.8579 0.9232 0.2167
Ga2 0.0091 0.7615 0.4834
Ca3 0.0064 0.4213 0.9995
O12 0.0768 0.1421 0.7833
O13 0.9155 0.2216 0.2449
O14 0.2066 0.8641 0.2369